[1]
Compound: HfSc4Ga5
Source: the Alexandria database
Functional: PBE-GGA
Structure: optimized geometry Values from VASP.

Structure (Quantum ESPRESSO input):
```
&SYSTEM
  ibrav = 0, nat = 10, ntyp = 3
/
ATOMIC_SPECIES
Hf 178.49 Hf.upf
Ga 69.72 Ga.upf
Sc 44.96 Sc.upf
CELL_PARAMETERS angstrom
-2.8512 1.2037 0.0429
-0.1561 -0.2600 -3.0803
-7.5471 -17.9446 1.8972
ATOMIC_POSITIONS crystal
Hf 0.0000 0.0000 0.0000
Ga 0.5000 0.5000 0.0999
Ga 0.5000 0.5000 0.9001
Sc 0.0000 0.0000 0.7993
Sc 0.0000 0.0000 0.2007
Sc 0.0000 0.0000 0.4002
Ga 0.5000 0.5000 0.6995
Ga 0.5000 0.5000 0.5000
Sc 0.0000 0.0000 0.5998
Ga 0.5000 0.5000 0.3005
```

Summary:
symmetry: P4/mmm, No. 123

---

[2]
Compound: Hf3ScGa2
Source: the Alexandria database
Functional: PBE-GGA
Structure: optimized geometry Values from VASP.

Structure (Quantum ESPRESSO input):
```
&SYSTEM
  ibrav = 0, nat = 12, ntyp = 3
/
ATOMIC_SPECIES
Hf 178.49 Hf.upf
Ga 69.72 Ga.upf
Sc 44.96 Sc.upf
CELL_PARAMETERS angstrom
-0.3600 -2.9250 2.7389
9.2087 1.1451 -0.5217
-5.2955 4.8480 4.4814
ATOMIC_POSITIONS crystal
Hf 0.3109 0.6218 0.5068
Hf 0.9474 0.8949 0.5753
Ga 0.7538 0.5075 0.2197
Hf 0.3613 0.7226 0.2118
Ga 0.5036 0.0072 0.1525
Ga 0.2462 0.4925 0.7803
Hf 0.6891 0.3782 0.4932
Hf 0.0526 0.1051 0.4247
Ga 0.4964 0.9928 0.8475
Sc 0.8839 0.7678 0.8929
Sc 0.1161 0.2322 0.1071
Hf 0.6387 0.2774 0.7882
```

Summary:
symmetry: C2/m, No. 12

---

[3]
Compound: Hf2Sc2Ga
Source: the Alexandria database
Functional: PBE-GGA
Structure: optimized geometry Values from VASP.

Structure (Quantum ESPRESSO input):
```
&SYSTEM
  ibrav = 0, nat = 10, ntyp = 3
/
ATOMIC_SPECIES
Ga 69.72 Ga.upf
Hf 178.49 Hf.upf
Sc 44.96 Sc.upf
CELL_PARAMETERS angstrom
7.2087 0.0000 0.0000
0.0000 7.2087 0.0000
0.0000 0.0000 4.2799
ATOMIC_POSITIONS crystal
Ga 0.0000 0.0000 0.0000
Hf 0.1477 0.6477 0.5000
Hf 0.6477 0.8523 0.5000
Sc 0.1477 0.3523 0.0000
Hf 0.3523 0.1477 0.5000
Ga 0.5000 0.5000 0.0000
Sc 0.6477 0.1477 0.0000
Hf 0.8523 0.3523 0.5000
Sc 0.3523 0.8523 0.0000
Sc 0.8523 0.6477 0.0000
```

Summary:
symmetry: P4/mbm, No. 127

---

[4]
Compound: Hf3ScGa12
Source: the Alexandria database
Functional: PBE-GGA
Structure: optimized geometry Values from VASP.

Structure (Quantum ESPRESSO input):
```
&SYSTEM
  ibrav = 0, nat = 16, ntyp = 3
/
ATOMIC_SPECIES
Ga 69.72 Ga.upf
Hf 178.49 Hf.upf
Sc 44.96 Sc.upf
CELL_PARAMETERS angstrom
-3.9344 0.2989 0.3636
-0.3902 -0.3604 -3.9267
-1.1689 -17.4778 1.7201
ATOMIC_POSITIONS crystal
Ga 0.0000 0.0000 0.6217
Hf 0.0000 0.0000 0.8804
Ga 0.5000 0.0000 0.9997
Ga 0.5000 0.5000 0.1265
Ga 0.5000 0.5000 0.8772
Hf 0.5000 0.5000 0.6193
Sc 0.5000 0.5000 0.3809
Ga 0.5000 0.0000 0.2500
Ga 0.0000 0.5000 0.7496
Ga 0.5000 0.0000 0.4995
Hf 0.0000 0.0000 0.1176
Ga 0.0000 0.5000 0.2500
Ga 0.5000 0.0000 0.7496
Ga 0.0000 0.5000 0.4995
Ga 0.0000 0.5000 0.9997
Ga 0.0000 0.0000 0.3787
```

Summary:
symmetry: P4mm, No. 99

---

[5]
Compound: Hf5ScGa3
Source: the Alexandria database
Functional: PBE-GGA
Structure: optimized geometry Values from VASP.

Structure (Quantum ESPRESSO input):
```
&SYSTEM
  ibrav = 0, nat = 18, ntyp = 3
/
ATOMIC_SPECIES
Hf 178.49 Hf.upf
Ga 69.72 Ga.upf
Sc 44.96 Sc.upf
CELL_PARAMETERS angstrom
7.0868 0.3232 -0.5541
2.2509 6.7276 -0.5541
2.1173 1.5987 8.5541
ATOMIC_POSITIONS crystal
Hf 0.9700 0.3550 0.3131
Ga 0.0000 0.0000 0.5000
Hf 0.3550 0.9700 0.3131
Hf 0.0300 0.6450 0.6869
Sc 0.1152 0.1152 0.7152
Ga 0.3451 0.3451 0.2013
Ga 0.6891 0.6891 0.5078
Hf 0.6450 0.0300 0.6869
Ga 0.6549 0.6549 0.7987
Hf 0.5418 0.5418 0.3045
Ga 0.3110 0.3110 0.4922
Sc 0.8848 0.8848 0.2848
Hf 0.6807 0.3193 0.0000
Hf 0.7533 0.7533 0.0384
Hf 0.4582 0.4582 0.6955
Ga 0.0000 0.0000 0.0000
Hf 0.3193 0.6807 0.0000
Hf 0.2467 0.2467 0.9616
```

Summary:
symmetry: C2/m, No. 12

---

[6]
Compound: HfSc2Ga
Source: the Alexandria database
Functional: PBE-GGA
Structure: optimized geometry Values from VASP.

Structure (Quantum ESPRESSO input):
```
&SYSTEM
  ibrav = 0, nat = 8, ntyp = 3
/
ATOMIC_SPECIES
Hf 178.49 Hf.upf
Ga 69.72 Ga.upf
Sc 44.96 Sc.upf
CELL_PARAMETERS angstrom
-2.2630 2.6142 -2.2152
0.4219 -2.4280 -3.2963
-7.2220 -6.3181 3.7293
ATOMIC_POSITIONS crystal
Hf 0.6966 0.7500 0.3929
Ga 0.8328 0.7500 0.6662
Hf 0.3034 0.2500 0.6071
Sc 0.4312 0.7500 0.8629
Sc 0.5688 0.2500 0.1371
Sc 0.9320 0.2500 0.8644
Ga 0.1672 0.2500 0.3338
Sc 0.0680 0.7500 0.1356
```

Summary:
symmetry: Cmcm, No. 63

---

[7]
Compound: Hf5ScGa4
Source: the Alexandria database
Functional: PBE-GGA
Structure: optimized geometry Values from VASP.

Structure (Quantum ESPRESSO input):
```
&SYSTEM
  ibrav = 0, nat = 20, ntyp = 3
/
ATOMIC_SPECIES
Hf 178.49 Hf.upf
Ga 69.72 Ga.upf
Sc 44.96 Sc.upf
CELL_PARAMETERS angstrom
7.2246 0.0000 0.0000
0.0000 7.0759 0.0000
0.0000 0.0000 8.2603
ATOMIC_POSITIONS crystal
Hf 0.7160 0.2513 0.6832
Hf 0.7160 0.7487 0.6832
Ga 0.5944 0.6597 0.0000
Ga 0.4056 0.8403 0.5000
Ga 0.9784 0.0000 0.8407
Hf 0.7160 0.2513 0.3168
Ga 0.4056 0.1597 0.5000
Ga 0.0216 0.5000 0.6593
Sc 0.6322 0.0000 0.0000
Hf 0.9553 0.5000 0.0000
Hf 0.2840 0.2487 0.8168
Hf 0.2840 0.7513 0.8168
Ga 0.0216 0.5000 0.3407
Ga 0.5944 0.3403 0.0000
Ga 0.9784 0.0000 0.1593
Hf 0.2840 0.2487 0.1832
Hf 0.7160 0.7487 0.3168
Hf 0.2840 0.7513 0.1832
Hf 0.0447 0.0000 0.5000
Sc 0.3678 0.5000 0.5000
```

Summary:
symmetry: Pmmn, No. 59

---

[8]
Compound: HfSc2Ga
Source: the Alexandria database
Functional: PBE-GGA
Structure: optimized geometry Values from VASP.

Structure (Quantum ESPRESSO input):
```
&SYSTEM
  ibrav = 0, nat = 4, ntyp = 3
/
ATOMIC_SPECIES
Ga 69.72 Ga.upf
Hf 178.49 Hf.upf
Sc 44.96 Sc.upf
CELL_PARAMETERS angstrom
-1.0231 -0.4383 4.2283
-2.1398 -3.6494 -0.8961
3.6190 -2.2790 0.6394
ATOMIC_POSITIONS crystal
Ga 0.5000 0.0000 0.0000
Hf 0.5000 0.5000 0.5000
Sc 0.0000 0.0000 0.5000
Sc 0.0000 0.5000 0.0000
```

Summary:
symmetry: P4/mmm, No. 123

---

In eV per atom, the ΔH_f (0 K) values for the records above are, in order, -0.54, -0.29, 0.07, -0.41, 0.16, -0.18, -0.01, -0.25.
In eV/f.u., the total energy values for the records above are, in order, -55.9, -44.0, -35.2, -79.0, -63.7, -26.4, -68.3, -26.6.
In μB/cell, the M_tot values for the records above are, in order, 0.13, 0.00, 0.00, 0.00, 0.00, 0.00, 0.00, 0.00.